This record from the Alexandria database describes a relaxed structure of AcSnH8Ru2. The functional is PBE.

Calculated values
raw total energy = -4.58 eV/atom

Geometry as POSCAR:
```
AcSnH8Ru2
1.0
-4.5785 2.0679 0.3707
-3.2906 1.3529 -3.5663
-0.2387 -7.9544 1.3666
H Ru Ac Sn
8 2 1 1
Direct
0.6505 0.6505 0.4441
0.7453 0.5041 0.8150
0.3495 0.3495 0.5559
0.2551 0.2551 0.7820
0.2547 0.4959 0.1850
0.5041 0.7453 0.8150
0.7449 0.7449 0.2180
0.4959 0.2547 0.1850
0.4397 0.4397 0.7851
0.5603 0.5603 0.2149
0.0000 0.0000 0.5000
0.0000 0.0000 0.0000
```